Density functional theory data (PBE) for an optimized crystal structure of TlTcRh2.

* symmetry: No. 139
* DOS at the Fermi energy: 2.5 states/eV per cell
* ΔE to the lowest computed polymorph: 0.147 eV/atom
* energy of formation: 238 meV/atom
* calculated volume: 16.11 Å³ per atom

The structure in POSCAR format:
```
TlTcRh2
1.0
4.846 -0.051 0.003
1.487 4.612 -0.003
-3.166 -2.281 2.873
Rh Tl Tc
2 1 1
direct
0.000 0.000 0.000
0.500 0.500 0.000
0.250 0.750 0.500
0.750 0.250 0.500
```